[1]
{
  "formula": "Nd2Zn4HgAu3",
  "functional": "PBE",
  "state": "optimized geometry",
  "lattice_angstrom": [[4.2928, 0.0000, 0.0000], [0.0000, 4.2928, 0.0000], [0.0000, 0.0000, 11.4187]],
  "species": ["Nd", "Nd", "Zn", "Zn", "Zn", "Zn", "Hg", "Au", "Au", "Au"],
  "fractional_positions": [[0.0000, 0.5000, 0.2389], [0.5000, 0.0000, 0.7611], [0.0000, 0.0000, 0.0000], [0.0000, 0.5000, 0.6417], [0.5000, 0.0000, 0.3583], [0.5000, 0.5000, 0.0000], [0.0000, 0.0000, 0.5000], [0.0000, 0.5000, 0.8635], [0.5000, 0.0000, 0.1365], [0.5000, 0.5000, 0.5000]],
  "total_energy_ev_per_cell": -29.5,
  "e_form_kcal_per_mol_atoms": -10.81,
  "sg": "P-4m2, No. 115"
}

[2]
{
  "formula": "NdZnHgAu",
  "functional": "PBE",
  "state": "optimized geometry",
  "lattice_angstrom": [[0.0000, 3.5206, 3.5206], [3.5206, 0.0000, 3.5206], [3.5206, 3.5206, 0.0000]],
  "species": ["Nd", "Zn", "Hg", "Au"],
  "fractional_positions": [[0.0000, 0.0000, 0.0000], [0.2500, 0.2500, 0.2500], [0.5000, 0.5000, 0.5000], [0.7500, 0.7500, 0.7500]],
  "total_energy_ev_per_cell": -11.4,
  "e_form_kcal_per_mol_atoms": -10.17,
  "sg": "F-43m, No. 216"
}

[3]
{
  "formula": "NiHg2Au",
  "functional": "PBE",
  "state": "optimized geometry",
  "lattice_angstrom": [[-2.0200, 2.0200, 4.4896], [2.0200, -2.0200, 4.4896], [2.0200, 2.0200, -4.4896]],
  "species": ["Ni", "Hg", "Hg", "Au"],
  "fractional_positions": [[0.0000, 0.0000, 0.0000], [0.5000, 0.5000, 0.0000], [0.7500, 0.2500, 0.5000], [0.2500, 0.7500, 0.5000]],
  "total_energy_ev_per_cell": -8.7,
  "e_form_kcal_per_mol_atoms": 5.62,
  "sg": "I-4m2, No. 119"
}

[4]
{
  "formula": "NiHgAu2",
  "functional": "PBE",
  "state": "optimized geometry",
  "lattice_angstrom": [[-1.4701, 2.3687, 5.0292], [1.4701, -2.3687, 5.0292], [1.4701, 2.3687, -5.0292]],
  "species": ["Ni", "Hg", "Au", "Au"],
  "fractional_positions": [[0.0000, 0.0000, 0.0000], [0.5000, 0.5000, 0.0000], [0.2196, 0.7196, 0.5000], [0.7804, 0.2804, 0.5000]],
  "total_energy_ev_per_cell": -12.1,
  "e_form_kcal_per_mol_atoms": 2.90,
  "sg": "Immm, No. 71"
}

[5]
{
  "formula": "NiHgAu4",
  "functional": "PBE",
  "state": "optimized geometry",
  "lattice_angstrom": [[0.0000, 3.8799, 3.8799], [3.8799, 0.0000, 3.8799], [3.8799, 3.8799, 0.0000]],
  "species": ["Ni", "Hg", "Au", "Au", "Au", "Au"],
  "fractional_positions": [[0.0000, 0.0000, 0.0000], [0.2500, 0.2500, 0.2500], [0.1243, 0.6252, 0.6252], [0.6252, 0.1243, 0.6252], [0.6252, 0.6252, 0.1243], [0.6252, 0.6252, 0.6252]],
  "total_energy_ev_per_cell": -17.3,
  "e_form_kcal_per_mol_atoms": 7.34,
  "sg": "F-43m, No. 216"
}

[6]
{
  "formula": "NiHg2Au",
  "functional": "PBE",
  "state": "optimized geometry",
  "lattice_angstrom": [[0.0000, 3.3108, 3.3108], [3.3108, 0.0000, 3.3108], [3.3108, 3.3108, 0.0000]],
  "species": ["Ni", "Hg", "Hg", "Au"],
  "fractional_positions": [[0.0000, 0.0000, 0.0000], [0.2500, 0.2500, 0.2500], [0.7500, 0.7500, 0.7500], [0.5000, 0.5000, 0.5000]],
  "total_energy_ev_per_cell": -8.7,
  "e_form_kcal_per_mol_atoms": 5.39,
  "sg": "Fm-3m, No. 225"
}